1.
A plane-wave DFT calculation with PBE was carried out for NaZrIn after structural relaxation.

Cell lengths 5.6594, 5.6049, 5.3915 Å; angles 119.85, 96.65, 77.67 degrees
Site moments in Bohr magnetons follow the coordinates.
Sites, in units of the cell vectors:
Zr (0.5004, 0.1288, 0.7961)  0.26
Zr (0.4996, 0.8712, 0.2039)  0.26
Na (0.9936, 0.3420, 0.1738)  0.00
In (0.5000, 0.5000, 0.5000)  -0.01
In (0.0000, 0.0000, 0.5000)  -0.01
Na (0.0064, 0.6580, 0.8262)  0.00

Output
- symmetry = P-1
- ΔE to the lowest computed polymorph (eV/atom) = 0.196
- volume (Å³ per atom) = 24.1
- magnetic moment (μB per atom) = 0.1262
- N(E_F) (states/eV/cell) = 4.754

***

2.
A plane-wave DFT calculation with PBE was carried out for NaZrIn after structural relaxation.

Cell lengths 5.2016, 5.2016, 6.0455 Å; angles 90.00, 90.00, 120.00 degrees
Sites, in units of the cell vectors:
In (0.6667, 0.3333, 0.2500)
Zr (0.6667, 0.3333, 0.7500)
Zr (0.3333, 0.6667, 0.2500)
In (0.3333, 0.6667, 0.7500)
Na (0.0000, 0.0000, 0.5000)
Na (0.0000, 0.0000, 0.0000)

Output
- symmetry = P6_3/mmc
- ΔE to the lowest computed polymorph (eV/atom) = 0.188
- volume (Å³ per atom) = 23.6
- magnetic moment (μB per atom) = 0.0000
- N(E_F) (states/eV/cell) = 1.125

***

Number 1: ΔH_f (0 K) 0.078 eV/atom. Number 2: ΔH_f (0 K) 0.069 eV/atom.